## HfMnPtO6 (PBE with a Hubbard U)

Data for an optimized crystal structure of HfMnPtO6.

For the uncorrected energy, the calculation gives -7.63 eV/atom.

The structure belongs to space group P4_2nm (No. 102); the cell edges are 4.678, 4.678 and 9.321 Å and the angles 90.00°, 90.00° and 90.00°. Symmetry generates all atoms from Hf at (0.000, 0.000, 0.000), Mn at (0.000, 0.000, 0.334), Pt at (0.000, 0.000, 0.671), O at (0.185, 0.185, 0.497), O at (0.193, 0.193, 0.174) and O at (0.206, 0.206, 0.836).